Below is crystalline Ho4Br2NCl3 at its relaxed geometry, with properties calculated at the PBE-GGA level.

Values from the calculation:
As for the total energy: -5.288 eV/atom. The crystal system is monoclinic.

Unit cell a=17.2391 b=3.6509 c=7.7024 alpha=90.00 beta=102.99 gamma=90.00
Closest atoms and distances in Å follow each position.
Space group C2/m (No. 12)
Unique sites:
1 Ho 0.9995 0.0000 0.2067 (multiplicity 4)  2 N 2.42, 1 Cl 2.70
2 Ho 0.1381 0.5000 0.0743 (multiplicity 4)  1 N 2.32
3 Br 0.1712 0.0000 0.8132 (multiplicity 4)  4 Ho 2.87-3.21
4 N 0.0000 0.5000 0.0000 (multiplicity 2)  6 Ho 2.32-2.42
5 Cl 0.0000 0.5000 0.5000 (multiplicity 2)  4 Ho 2.90
6 Cl 0.1587 0.0000 0.3390 (multiplicity 4)  3 Ho 2.70